VASP calculation (PBE) on an optimized crystal structure of Pm4PdCl5.

```
Pm4PdCl5
1.0
9.010 -1.959 0.000
9.010 1.959 0.000
-1.806 0.000 8.374
Pm Pd Cl
4 1 5
direct
0.005 0.005 0.233
0.334 0.334 0.927
0.666 0.666 0.073
0.995 0.995 0.767
0.500 0.500 0.000
0.167 0.167 0.825
0.168 0.168 0.314
0.500 0.500 0.500
0.832 0.832 0.686
0.833 0.833 0.175
```

formation energy (no corrections) = -1643 meV/atom
symmetry = C2/m
calculated volume = 295.6 Å³/f.u.
E = -4.9859 eV/atom